[1]
Compound: K2PrBr4
Source: Alexandria
Functional: PBE
Structure: relaxed

abc: 5.848 5.848 9.457
angles: 71.99 71.99 90.00
Site moments in Bohr magnetons follow the coordinates.
Fractional positions:
Pr: 0.000 0.000 0.000  0.22
K: 0.363 0.363 0.275  0.00
K: 0.637 0.637 0.725  0.00
Br: 0.500 0.000 0.000  0.00
Br: 0.000 0.500 0.000  0.00
Br: 0.826 0.826 0.349  0.01
Br: 0.174 0.174 0.651  0.01

SG ... I4/mmm, No. 139
N(E_F) ... 3.2 states/eV/f.u.
Formation energy (no corrections) ... -11.08 eV per formula unit
Energy ... -3.535 eV per atom

***

[2]
Compound: V3GaNi7
Source: Alexandria
Functional: PBE
Structure: relaxed

abc: 4.370 6.123 6.123
angles: 90.84 111.18 111.18
Fractional positions:
V: 0.000 0.238 0.762
V: 0.500 0.000 0.000
V: 0.000 0.762 0.238
Ni: 0.676 0.398 0.955
Ni: 0.179 0.174 0.174
Ni: 0.000 0.500 0.500
Ni: 0.324 0.045 0.602
Ni: 0.821 0.826 0.826
Ni: 0.324 0.602 0.045
Ni: 0.676 0.955 0.398
Ga: 0.500 0.500 0.500

SG ... C2/m, No. 12
N(E_F) ... 9.6 states/eV/f.u.
DFT formation energy ... 1.13 eV per formula unit
Energy ... -6.338 eV per atom

***

Repeat the second record exactly.
Compound: V3GaNi7
Source: Alexandria
Functional: PBE
Structure: relaxed

abc: 4.370 6.123 6.123
angles: 90.84 111.18 111.18
Fractional positions:
V: 0.000 0.238 0.762
V: 0.500 0.000 0.000
V: 0.000 0.762 0.238
Ni: 0.676 0.398 0.955
Ni: 0.179 0.174 0.174
Ni: 0.000 0.500 0.500
Ni: 0.324 0.045 0.602
Ni: 0.821 0.826 0.826
Ni: 0.324 0.602 0.045
Ni: 0.676 0.955 0.398
Ga: 0.500 0.500 0.500

SG ... C2/m, No. 12
N(E_F) ... 9.6 states/eV/f.u.
DFT formation energy ... 1.13 eV per formula unit
Energy ... -6.338 eV per atom

***

> What is the N(E_F) in the second record?

9.6 states/eV/f.u.